The following is a GGA-PBE calculation of a geometry-optimized LiBe4Cu5 structure, from Alexandria.

Cell lengths 2.6458, 2.6458, 14.9393 Å; angles 90.00, 90.00, 90.00 degrees
Space group P4/mmm (No. 123)
One atom of each set of equivalent atoms:
Li (0.0000, 0.0000, 0.0000)
Be (0.0000, 0.0000, 0.2219)
Be (0.0000, 0.0000, 0.4079)
Cu (0.5000, 0.5000, 0.1305)
Cu (0.5000, 0.5000, 0.3147)
Cu (0.5000, 0.5000, 0.5000)

* E_tot: -3.8224 eV/atom
* total magnetization: 0.000 μB per atom
* mass density: 5728 kg/m³